# 1
ReNiAsC2 | PBE-GGA | optimized geometry

Lattice parameters (Å, degrees): 3.909 3.909 5.163 90.00 90.00 90.00
Sites, in units of the cell vectors:
Re 0.000 0.000 0.000
Ni 0.500 0.500 0.500
As 0.000 0.000 0.500
C 0.000 0.500 0.000
C 0.500 0.000 0.000

Output
Total moment, μB per formula unit: 0.32
Density of states at the Fermi level, states/eV/atom: 0.70
E_tot, eV per atom: -6.791
Calculated volume, Å³/cell: 79
Formation energy from the elements, kJ per mole of atoms: 142.26

***

# 2
AgPtPb2 | PBE-GGA | optimized geometry

Lattice parameters (Å, degrees): 4.942 4.942 3.726 90.00 90.00 90.00
Sites, in units of the cell vectors:
Ag 0.000 0.000 0.000
Pt 0.500 0.500 0.000
Pb 0.000 0.500 0.500
Pb 0.500 0.000 0.500

Output
Total moment, μB per formula unit: 0.00
Density of states at the Fermi level, states/eV/atom: 0.44
E_tot, eV per atom: -4.028
Calculated volume, Å³/cell: 91
Offset from the most stable computed form, kJ/mol of formula units: 33.0
Formation energy from the elements, kJ per mole of atoms: 4.77